LuZrNb, relaxed, DFT PBE; size of the total moment = 0.0000 μB/atom; energy above the lowest structure with this stoichiometry = 0.387 eV per formula unit
1.0
-0.051 -3.156 0.353
0.977 1.850 2.390
-7.351 0.418 2.682
Nb Lu Zr
1 1 1
Direct
0.000 0.000 0.997 Nb
0.667 0.333 0.320 Lu
0.333 0.667 0.683 Zr

LiTm3Zn8, relaxed, DFT PBE; size of the total moment = 0.0000 μB/atom; E = -2.43 eV/atom
1.0
5.356 0.000 0.000
2.678 4.638 0.000
2.678 1.546 8.726
Li Tm Zn
1 3 8
Direct
0.873 0.873 0.381 Li
0.377 0.377 0.868 Tm
0.995 0.995 0.014 Tm
0.503 0.503 0.492 Tm
0.936 0.438 0.189 Zn
0.439 0.938 0.685 Zn
0.438 0.438 0.189 Zn
0.938 0.938 0.685 Zn
0.188 0.188 0.436 Zn
0.687 0.687 0.938 Zn
0.438 0.936 0.189 Zn
0.938 0.439 0.685 Zn

Dy12Zn6Co, relaxed, DFT PBE; size of the total moment = 0.0000 μB/atom; E = -3.80 eV/atom
1.0
-2.865 5.305 5.197
-3.613 -6.162 3.513
6.795 -1.033 4.015
Dy Zn Co
12 6 1
Direct
0.801 0.573 0.455 Dy
0.455 0.801 0.573 Dy
0.573 0.455 0.801 Dy
0.199 0.427 0.545 Dy
0.545 0.199 0.427 Dy
0.427 0.545 0.199 Dy
0.966 0.089 0.313 Dy
0.911 0.687 0.034 Dy
0.687 0.034 0.911 Dy
0.034 0.911 0.687 Dy
0.089 0.313 0.966 Dy
0.313 0.966 0.089 Dy
0.650 0.857 0.260 Zn
0.740 0.350 0.143 Zn
0.143 0.740 0.350 Zn
0.350 0.143 0.740 Zn
0.260 0.650 0.857 Zn
0.857 0.260 0.650 Zn
0.000 0.000 0.000 Co

Mn2ReAs2, relaxed, DFT PBE; size of the total moment = 1.2876 μB/atom; E = -7.89 eV/atom
1.0
6.662 0.000 0.000
0.000 6.662 0.000
0.000 0.000 3.348
Re As Mn
2 4 4
Direct
0.000 0.000 0.000 Re
0.500 0.500 0.000 Re
0.346 0.846 0.000 As
0.846 0.654 0.000 As
0.654 0.154 0.000 As
0.154 0.346 0.000 As
0.144 0.644 0.500 Mn
0.644 0.856 0.500 Mn
0.856 0.356 0.500 Mn
0.356 0.144 0.500 Mn